CsV3I12 | GGA-PBE | relaxed

Cell: 15.2150 15.2150 15.2150 Å, 52.59 52.59 52.59°
With the nearest neighbours (Å) after each atom.
Atoms (fractional coordinates):
Cs 0.0000 0.0000 0.0000  9 I 4.08-4.23
Cs 0.5000 0.5000 0.5000  9 I 4.08-4.23
V 0.1150 0.3560 0.7306  4 I 2.52-2.55
V 0.2306 0.8560 0.6150  4 I 2.52-2.55
V 0.3560 0.7306 0.1150  4 I 2.52-2.55
V 0.6150 0.2306 0.8560  4 I 2.52-2.55
V 0.7306 0.1150 0.3560  4 I 2.52-2.55
V 0.8560 0.6150 0.2306  4 I 2.52-2.55
I 0.0567 0.5663 0.5816  1 V 2.52
I 0.0663 0.5567 0.0816  1 V 2.52
I 0.0816 0.0663 0.5567  1 V 2.52
I 0.1550 0.7078 0.6797  1 V 2.54
I 0.1797 0.2078 0.6550  1 V 2.54
I 0.2078 0.6550 0.1797  1 V 2.54
I 0.2650 0.8082 0.7862  1 V 2.55
I 0.2862 0.3082 0.7650  1 V 2.55
I 0.3082 0.7650 0.2862  1 V 2.55
I 0.3339 0.9292 0.9380  1 V 2.54
I 0.4292 0.8339 0.4380  1 V 2.54
I 0.4380 0.4292 0.8339  1 V 2.54
I 0.5567 0.0816 0.0663  1 V 2.52
I 0.5663 0.5816 0.0567  1 V 2.52
I 0.5816 0.0567 0.5663  1 V 2.52
I 0.6550 0.1797 0.2078  1 V 2.54
I 0.6797 0.1550 0.7078  1 V 2.54
I 0.7078 0.6797 0.1550  1 V 2.54
I 0.7650 0.2862 0.3082  1 V 2.55
I 0.7862 0.2650 0.8082  1 V 2.55
I 0.8082 0.7862 0.2650  1 V 2.55
I 0.8339 0.4380 0.4292  1 V 2.54
I 0.9292 0.9380 0.3339  1 V 2.54
I 0.9380 0.3339 0.9292  1 V 2.54

Properties
Size of the total moment = 0.250 μB/atom
E_form (uncorrected) = -0.5357 eV/atom
Density of states at the Fermi level = 40.4 states/eV/cell
Calculated total energy = -3.461 eV per atom

K2RbTlHg2 | GGA-PBE | relaxed

Cell: 5.3478 10.2248 8.9777 Å, 90.00 90.00 90.00°
With the nearest neighbours (Å) after each atom.
Atoms (fractional coordinates):
K 0.0000 0.0843 0.0000  5 Hg 3.73-4.09, 2 Tl 3.98-4.02, 2 K 4.05
K 0.0000 0.9157 0.5000  5 Hg 3.73-4.09, 2 Tl 3.98-4.02, 2 K 4.05
K 0.5000 0.1785 0.3411  4 Hg 3.41-3.61
K 0.5000 0.8215 0.8411  4 Hg 3.41-3.61
Rb 0.5000 0.4391 0.9641  5 Hg 3.67-3.72, 1 K 4.06, 2 Tl 4.10
Rb 0.5000 0.5609 0.4641  5 Hg 3.67-3.72, 1 K 4.06, 2 Tl 4.10
Tl 0.0000 0.2928 0.6259  3 Hg 3.17-3.31
Tl 0.0000 0.7072 0.1259  3 Hg 3.17-3.31
Hg 0.0000 0.4025 0.2499  2 Tl 3.31-3.56, 2 K 3.61, 2 Rb 3.67
Hg 0.0000 0.5975 0.7499  2 Tl 3.31-3.56, 2 K 3.61, 2 Rb 3.67
Hg 0.5000 0.1492 0.7199  2 Tl 3.17, 2 K 3.41-3.52
Hg 0.5000 0.8508 0.2199  2 Tl 3.17, 2 K 3.41-3.52

Properties
Size of the total moment = 0.000 μB/atom
ΔE_f = -0.1646 eV/atom
Density of states at the Fermi level = 4.8 states/eV/cell
Calculated total energy = -1.187 eV per atom

Tb4GeAs2P | GGA-PBE | relaxed

Cell: 7.1139 4.0849 7.1820 Å, 90.00 109.10 90.00°
With the nearest neighbours (Å) after each atom.
Atoms (fractional coordinates):
Tb 0.2452 0.0000 0.2436  2 P 2.88, 3 As 2.90-2.94, 1 Ge 2.92
Tb 0.2504 0.5000 0.7561  1 P 2.88, 3 As 2.89-2.95, 2 Ge 2.93
Tb 0.7496 0.5000 0.2439  1 P 2.88, 3 As 2.89-2.95, 2 Ge 2.93
Tb 0.7548 0.0000 0.7564  2 P 2.88, 3 As 2.90-2.94, 1 Ge 2.92
Ge 0.0000 0.0000 0.5000  6 Tb 2.92-2.93
As 0.5000 0.0000 0.0000  6 Tb 2.89-2.90
As 0.5000 0.5000 0.5000  6 Tb 2.94-2.95
P 0.0000 0.5000 0.0000  6 Tb 2.88

Properties
Size of the total moment = 0.000 μB/atom
ΔE_f = -1.3219 eV/atom
Density of states at the Fermi level = 3.8 states/eV/cell
Calculated total energy = -6.053 eV per atom

Question: Which formula does entry 3 have?
Answer: Tb4GeAs2P

Question: Look up the size of the total moment of the first one.
Answer: 0.250 μB/atom

Question: Which value of size of the total moment does entry 2 give?
Answer: 0.000 μB/atom

Question: Look up the density of states at the Fermi level of the first one.
Answer: 40.4 states/eV/cell